[1]
Computed, not measured: a geometry-optimized Hf2AlInRu structure at the PBE level of DFT.

The structure belongs to space group P4/mmm (No. 123); the cell edges are 5.143, 5.143 and 4.806 Å and the angles 90.00°, 90.00° and 90.00°. Symmetry generates all atoms from Hf at (0.000, 0.500, 0.000), Al at (0.000, 0.000, 0.500), In at (0.500, 0.500, 0.000) and Ru at (0.500, 0.500, 0.500).

[2]
Computed, not measured: a geometry-optimized SrTaTi2 structure at the PBE level of DFT.

The structure belongs to space group Fm-3m (No. 225); the cell edges are 6.983, 6.983 and 6.983 Å and the angles 90.00°, 90.00° and 90.00°. Symmetry generates all atoms from Sr at (0.000, 0.000, 0.000), Ta at (0.000, 0.000, 0.500) and Ti at (0.250, 0.250, 0.250).

The energy above the most stable polymorph in this dataset comes out at 0.000 eV per atom.

| no. | formation energy from the elements (eV per atom) | volume (Å³/cell) | magnetization (μB/f.u.) |
| --- | --- | --- | --- |
| 1 | 1.353 | 127.15 | 0.00 |
| 2 | 0.783 | 340.53 | 1.48 |